The following is a PBE-GGA calculation of a relaxed structure of DyPaPdPt, from Alexandria via LeMat-Bulk.

Output
- Crystal system: cubic
- Spin magnetization: 0.75 μB/f.u.
- Uncorrected energy: -28.36 eV per formula unit
- Space-group type: F-43m
- ΔE_f: -0.7574 eV/atom
- Mass density: 13.3 g/cm³

Cell: 7.024 7.024 7.024 Å, 90.00 90.00 90.00°
Sites, in units of the cell vectors:
Dy (0.000, 0.000, 0.000)
Dy (0.000, 0.500, 0.500)
Dy (0.500, 0.000, 0.500)
Dy (0.500, 0.500, 0.000)
Pa (0.000, 0.000, 0.500)
Pa (0.000, 0.500, 0.000)
Pa (0.500, 0.000, 0.000)
Pa (0.500, 0.500, 0.500)
Pd (0.250, 0.250, 0.750)
Pd (0.250, 0.750, 0.250)
Pd (0.750, 0.250, 0.250)
Pd (0.750, 0.750, 0.750)
Pt (0.250, 0.250, 0.250)
Pt (0.250, 0.750, 0.750)
Pt (0.750, 0.250, 0.750)
Pt (0.750, 0.750, 0.250)